Record 1
Here is an optimized crystal structure of ZnTcMo2 from the Alexandria database. Energies are from PBE-GGA.

## Properties
Formation enthalpy at 0 K = 48 kJ/mol of formula units
N(E_F) = 3.717 states/eV per cell
SG = P2/m, No. 10
Total DFT energy (no corrections) = -8.200 eV/atom

abc: 4.3757 2.6668 5.3544
angles: 75.83 90.00 90.00
Atoms (fractional coordinates):
Mo (0.0000, 0.4810, 0.5006)
Zn (0.5000, 0.7500, 0.7500)
Tc (0.5000, 0.2500, 0.2500)
Mo (0.0000, 0.0190, 0.9994)

=====

Record 2
Here is an optimized crystal structure of ZnTcMo from the Alexandria database. Energies are from PBE-GGA.

## Properties
Formation enthalpy at 0 K = 27 kJ/mol of formula units
N(E_F) = 2.082 states/eV per cell
SG = Imm2, No. 44
Relative energy among the computed polymorphs = 66.6 meV per atom
Total DFT energy (no corrections) = -7.398 eV/atom

abc: 4.7112 4.7112 4.7112
angles: 146.23 129.40 62.22
Atoms (fractional coordinates):
Mo (0.0011, 0.0011, 0.0000)
Tc (0.3310, 0.3310, 0.0000)
Zn (0.6679, 0.6679, 0.0000)

=====

Record 3
Here is an optimized crystal structure of ZnTcMo2 from the Alexandria database. Energies are from PBE-GGA.

## Properties
Formation enthalpy at 0 K = 67 kJ/mol of formula units
N(E_F) = 2.964 states/eV per cell
SG = I4/mmm, No. 139
Total DFT energy (no corrections) = -8.152 eV/atom

abc: 4.8975 4.8975 4.8975
angles: 133.80 133.80 67.40
Atoms (fractional coordinates):
Zn (0.7500, 0.2500, 0.5000)
Mo (0.0000, 0.0000, 0.0000)
Tc (0.2500, 0.7500, 0.5000)
Mo (0.5000, 0.5000, 0.0000)

=====

Record 4
Here is an optimized crystal structure of Zn4TcMo from the Alexandria database. Energies are from PBE-GGA.

## Properties
Formation enthalpy at 0 K = 41 kJ/mol of formula units
N(E_F) = 2.303 states/eV per cell
SG = F-43m, No. 216
Total DFT energy (no corrections) = -4.311 eV/atom

abc: 4.9034 4.9034 4.9034
angles: 60.00 60.00 60.00
Atoms (fractional coordinates):
Zn (0.3750, 0.3750, 0.3750)
Mo (0.7500, 0.7500, 0.7500)
Zn (0.8749, 0.3750, 0.3750)
Zn (0.3750, 0.3750, 0.8749)
Zn (0.3750, 0.8749, 0.3750)
Tc (0.0000, 0.0000, 0.0000)

=====

Record 5
Here is an optimized crystal structure of ZnTcMo2 from the Alexandria database. Energies are from PBE-GGA.

## Properties
Formation enthalpy at 0 K = 61 kJ/mol of formula units
N(E_F) = 3.662 states/eV per cell
SG = C2/m, No. 12
Total DFT energy (no corrections) = -8.168 eV/atom

abc: 5.2675 5.1533 2.6781
angles: 81.46 77.41 117.03
Atoms (fractional coordinates):
Zn (0.5000, 0.5000, 0.0000)
Tc (0.0000, 0.5000, 0.5000)
Mo (0.0000, 0.0000, 0.0000)
Mo (0.5000, 0.0000, 0.5000)

=====

Record 6
Here is an optimized crystal structure of ZnTcMo2 from the Alexandria database. Energies are from PBE-GGA.

## Properties
Formation enthalpy at 0 K = 41 kJ/mol of formula units
N(E_F) = 4.188 states/eV per cell
SG = Immm, No. 71
Total DFT energy (no corrections) = -8.220 eV/atom

abc: 5.1714 5.1714 4.3176
angles: 65.38 65.38 35.75
Atoms (fractional coordinates):
Mo (0.4867, 0.4867, 0.5131)
Tc (0.7500, 0.7500, 0.7500)
Zn (0.2500, 0.2500, 0.2500)
Mo (0.0133, 0.0133, 0.9869)

=====

Question: Look up the total DFT energy (no corrections) of the sixth one.
Answer: -8.220 eV/atom

=====

Copy entry 5 word for word.
Here is an optimized crystal structure of ZnTcMo2 from the Alexandria database. Energies are from PBE-GGA.

## Properties
Formation enthalpy at 0 K = 61 kJ/mol of formula units
N(E_F) = 3.662 states/eV per cell
SG = C2/m, No. 12
Total DFT energy (no corrections) = -8.168 eV/atom

abc: 5.2675 5.1533 2.6781
angles: 81.46 77.41 117.03
Atoms (fractional coordinates):
Zn (0.5000, 0.5000, 0.0000)
Tc (0.0000, 0.5000, 0.5000)
Mo (0.0000, 0.0000, 0.0000)
Mo (0.5000, 0.0000, 0.5000)

=====

Question: Number 6 is which compound?
Answer: ZnTcMo2

=====

Question: Look up the N(E_F) of the first one.
Answer: 3.717 states/eV per cell